Record 1
! Cs2Te3W, relaxed, DFT PBE; values from VASP
! Total DFT energy (no corrections) ... -53.38 eV per cell
! M_tot ... 1.0 Bohr magnetons per cell
! Space group ... Cmc2_1, No. 36
&SYSTEM
  ibrav = 0, nat = 12, ntyp = 3
/
ATOMIC_SPECIES
Cs 132.91 Cs.upf
Te 127.60 Te.upf
W 183.84 W.upf
CELL_PARAMETERS angstrom
-6.677 -5.139 0.402
1.664 -5.175 6.449
-3.408 4.798 4.730
ATOMIC_POSITIONS crystal
Cs 0.514 0.168 0.256
Cs 0.832 0.486 0.256
Cs 0.168 0.514 0.756
Cs 0.486 0.832 0.756
Te 0.127 0.126 0.006
Te 0.874 0.873 0.006
Te 0.347 0.653 0.257
Te 0.126 0.127 0.506
Te 0.873 0.874 0.506
Te 0.653 0.347 0.757
W 0.097 0.903 0.256
W 0.903 0.097 0.756

=====

Record 2
! Pr3Mg3InAgHg, relaxed, DFT PBE; values from VASP
! Total DFT energy (no corrections) ... -28.11 eV per cell
! M_tot ... 0.4 Bohr magnetons per cell
! Space group ... P-6, No. 174
&SYSTEM
  ibrav = 0, nat = 9, ntyp = 5
/
ATOMIC_SPECIES
Ag 107.87 Ag.upf
Hg 200.59 Hg.upf
In 114.82 In.upf
Mg 24.30 Mg.upf
Pr 140.91 Pr.upf
CELL_PARAMETERS angstrom
7.764 0.000 0.000
-3.882 6.723 0.000
0.000 0.000 4.597
ATOMIC_POSITIONS crystal
Ag 0.000 0.000 0.000
Hg 0.333 0.667 0.500
In 0.667 0.333 0.500
Mg 0.000 0.238 0.500
Mg 0.762 0.763 0.500
Mg 0.237 0.000 0.500
Pr 0.412 0.413 0.000
Pr 0.001 0.588 0.000
Pr 0.587 0.999 0.000

=====

Record 3
! LaHfBe, relaxed, DFT PBE; values from VASP
! Total DFT energy (no corrections) ... -14.65 eV per cell
! M_tot ... 0.3 Bohr magnetons per cell
! Space group ... F-43m, No. 216
&SYSTEM
  ibrav = 0, nat = 3, ntyp = 3
/
ATOMIC_SPECIES
Be 9.01 Be.upf
Hf 178.49 Hf.upf
La 138.91 La.upf
CELL_PARAMETERS angstrom
-2.869 -2.777 -2.534
-4.069 1.719 -1.689
-0.509 0.737 -4.643
ATOMIC_POSITIONS crystal
Be 0.250 0.250 0.250
Hf 0.750 0.750 0.750
La 0.000 0.000 0.000

=====

Look up the M_tot of the second one.
0.4 Bohr magnetons per cell